No. 1
Density functional theory data (PBE) for a relaxed LiMgOs2 crystal.

The structure in extended XYZ format:
```
4
Lattice="-2.888 3.433 0.996 -2.141 2.254 3.384 3.517 3.468 0.611" Properties=species:S:1:pos:R:3 pbc="T T T"
Li -0.789 4.508 2.472
Mg -0.321 2.417 1.293
Os 3.341 3.322 0.594
Os -0.982 6.954 3.740
```

Summary:
The formation enthalpy at 0 K is 174 meV per atom. The density of states at the Fermi level comes out at 0.65 states/eV/atom.

---

No. 2
Density functional theory data (PBE) for a relaxed Li2MgOs crystal.

The structure in extended XYZ format:
```
4
Lattice="-0.013 0.227 2.716 -1.254 -2.223 -0.958 8.223 -4.831 0.442" Properties=species:S:1:pos:R:3 pbc="T T T"
Li 8.056 -4.732 0.433
Li 1.442 -2.217 0.991
Mg 4.233 -2.487 0.228
Os 5.560 -4.636 1.213
```

Summary:
The formation enthalpy at 0 K is 180 meV per atom. The density of states at the Fermi level comes out at 0.51 states/eV/atom.

---

No. 3
Density functional theory data (PBE) for a relaxed Li3MgOs crystal.

The structure in extended XYZ format:
```
5
Lattice="-0.380 -1.131 4.523 -1.300 -4.332 -1.193 4.477 -1.354 0.038" Properties=species:S:1:pos:R:3 pbc="T T T"
Mg 1.398 -3.409 1.684
Os 0.000 0.000 0.000
Li -0.650 -2.166 -0.596
Li 2.239 -0.677 0.019
Li -0.190 -0.565 2.262
```

Summary:
The calculation puts the energy above the most stable polymorph in this dataset at 0.000 eV/atom. The formation enthalpy at 0 K is 915 meV per atom. The density of states at the Fermi level comes out at 0.69 states/eV/atom.